Entry 1:
InAg2Pb2: optimized geometry, PBE-GGA.

Calculated values
Space group: P-1 (2)
Distance to the lowest polymorph of the same formula in eV per atom: 0.000
Calculated total energy in eV/cell: -31.02
Density of states at the Fermi level in states/eV/f.u.: 2.11
Crystal system: triclinic

a = 5.1335 Å, b = 7.5509 Å, c = 7.7124 Å
α = 98.33°, β = 109.34°, γ = 109.43°
Sites, in units of the cell vectors:
In (0.0084, 0.2511, 0.2498)
In (0.9916, 0.7489, 0.7502)
Ag (0.3307, 0.5722, 0.5946)
Ag (0.3358, 0.0738, 0.0930)
Ag (0.6642, 0.9262, 0.9070)
Ag (0.6693, 0.4278, 0.4054)
Pb (0.1241, 0.8653, 0.3807)
Pb (0.3792, 0.6361, 0.1203)
Pb (0.6208, 0.3639, 0.8797)
Pb (0.8759, 0.1347, 0.6193)

***

Entry 2:
TiInAg: optimized geometry, PBE-GGA.

Calculated values
Space group: P4/nmm (129)
Calculated total energy in eV/cell: -25.39
Density of states at the Fermi level in states/eV/f.u.: 3.02
Crystal system: tetragonal

a = 4.0995 Å, b = 4.0995 Å, c = 7.2589 Å
α = 90.00°, β = 90.00°, γ = 90.00°
Sites, in units of the cell vectors:
Ti (0.2500, 0.2500, 0.1510)
Ti (0.7500, 0.7500, 0.8490)
In (0.2500, 0.7500, 0.5000)
In (0.7500, 0.2500, 0.5000)
Ag (0.2500, 0.2500, 0.7852)
Ag (0.7500, 0.7500, 0.2148)

***

Please write out number 2 again, unchanged.
TiInAg: optimized geometry, PBE-GGA.

Calculated values
Space group: P4/nmm (129)
Calculated total energy in eV/cell: -25.39
Density of states at the Fermi level in states/eV/f.u.: 3.02
Crystal system: tetragonal

a = 4.0995 Å, b = 4.0995 Å, c = 7.2589 Å
α = 90.00°, β = 90.00°, γ = 90.00°
Sites, in units of the cell vectors:
Ti (0.2500, 0.2500, 0.1510)
Ti (0.7500, 0.7500, 0.8490)
In (0.2500, 0.7500, 0.5000)
In (0.7500, 0.2500, 0.5000)
Ag (0.2500, 0.2500, 0.7852)
Ag (0.7500, 0.7500, 0.2148)

***

Question: Number 1 is which compound?
Answer: InAg2Pb2